# 1
6
Lattice="4.460 0.000 0.000 -2.230 3.863 0.000 0.000 0.000 5.947" Properties=species:S:1:pos:R:3 comment="Si2Au PBE relaxed" formation_energy_uncorrected_mev_per_atom=446 m_tot_mub_per_fu=0.00 dos_ef_per_ev_fu=0.78 space_group="No. 194" relative_energy_ev_per_atom=0.350 pbc="T T T"
Si 0.000 0.000 0.000
Si 0.000 0.000 2.974
Si 0.000 2.575 1.487
Si 2.230 1.288 4.460
Au 0.000 2.575 4.460
Au 2.230 1.288 1.487



# 2
4
Lattice="2.673 -4.404 0.000 2.673 4.404 0.000 0.000 0.000 3.004" Properties=species:S:1:pos:R:3 comment="TmZnSi2 PBE relaxed" formation_energy_uncorrected_mev_per_atom=-230 m_tot_mub_per_fu=0.00 dos_ef_per_ev_fu=1.99 space_group="No. 65" relative_energy_ev_per_atom=0.058 pbc="T T T"
Tm 0.000 0.000 0.000
Zn 2.673 0.000 1.502
Si 1.336 2.202 1.502
Si 1.336 -2.202 1.502



# 3
4
Lattice="0.000 3.198 3.198 3.198 0.000 3.198 3.198 3.198 0.000" Properties=species:S:1:pos:R:3 comment="NiAgSnPt PBE relaxed" e_tot_ev_per_atom=-4.794 m_tot_mub_per_fu=0.00 dos_ef_per_ev_fu=3.28 space_group="No. 216" pbc="T T T"
Ni 0.000 0.000 0.000
Ag 4.797 4.797 4.797
Sn 1.599 1.599 1.599
Pt 3.198 3.198 3.198



# 4
5
Lattice="4.625 0.000 0.000 0.000 4.625 0.000 0.000 0.000 6.831" Properties=species:S:1:pos:R:3 comment="BaBiTeN2 PBE relaxed" formation_energy_uncorrected_mev_per_atom=1461 m_tot_mub_per_fu=0.03 dos_ef_per_ev_fu=7.29 space_group="No. 123" relative_energy_ev_per_atom=0.790 pbc="T T T"
Ba 0.000 0.000 0.000
Bi 2.312 2.312 3.416
Te 0.000 0.000 3.416
N 0.000 2.312 0.000
N 2.312 0.000 0.000



# 5
4
Lattice="4.737 0.000 0.000 0.000 4.791 0.000 0.000 0.000 5.015" Properties=species:S:1:pos:R:3 comment="PrTlInPb PBE relaxed" m_tot_mub_per_fu=0.00 dos_ef_per_ev_fu=2.19 space_group="No. 47" relative_energy_ev_per_atom=0.000 pbc="T T T"
Pr 0.000 0.000 0.000
Tl 2.369 0.000 2.507
In 0.000 2.396 2.507
Pb 2.369 2.396 0.000



# 6
6
Lattice="0.000 3.424 3.424 3.424 0.000 3.424 3.424 3.424 0.000" Properties=species:S:1:pos:R:3 comment="ScCr4Si PBE relaxed" formation_energy_uncorrected_mev_per_atom=60 m_tot_mub_per_fu=0.00 dos_ef_per_ev_fu=5.60 space_group="No. 216" pbc="T T T"
Sc 0.000 0.000 0.000
Cr 2.574 2.574 2.574
Cr 4.273 4.273 2.574
Cr 4.273 2.574 4.273
Cr 2.574 4.273 4.273
Si 5.135 5.135 5.135



# 7
18
Lattice="3.820 -6.618 0.000 3.820 6.618 0.000 -2.503 0.000 13.797" Properties=species:S:1:pos:R:3 comment="Ac12CoPt5 PBE relaxed" e_tot_ev_per_atom=-5.490 m_tot_mub_per_fu=0.00 dos_ef_per_ev_fu=16.19 space_group="No. 12" pbc="T T T"
Ac 1.294 4.411 8.572
Ac 0.094 2.115 12.226
Ac 1.378 0.000 1.572
Ac 3.841 4.411 5.225
Ac 1.292 0.000 8.543
Ac 0.094 -2.115 12.226
Ac 5.042 2.115 1.570
Ac 3.844 0.000 5.254
Ac 1.294 -4.411 8.572
Ac 3.758 0.000 12.225
Ac 5.042 -2.115 1.570
Ac 3.841 -4.411 5.225
Co 3.820 0.000 0.000
Pt -1.252 0.000 6.898
Pt 3.820 4.412 0.000
Pt 2.568 2.216 6.898
Pt 2.568 -2.216 6.898
Pt 3.820 -4.412 0.000



# 8
6
Lattice="0.000 5.328 5.328 5.328 0.000 5.328 5.328 5.328 0.000" Properties=species:S:1:pos:R:3 comment="Sr4LiMg PBE relaxed" m_tot_mub_per_fu=0.00 dos_ef_per_ev_fu=8.49 space_group="No. 216" relative_energy_ev_per_atom=0.398 pbc="T T T"
Sr 1.335 1.335 1.335
Sr 3.993 3.993 1.335
Sr 3.993 1.335 3.993
Sr 1.335 3.993 3.993
Li 7.992 7.992 7.992
Mg 5.328 5.328 5.328